# 1
The following is a PBE-GGA calculation of BaTc3B after structural relaxation, from Alexandria via LeMat-Bulk.

```
BaTc3B
1.0
4.414 0.000 0.000
0.000 4.414 0.000
0.000 0.000 4.414
Ba Tc B
1 3 1
Direct
0.000 0.000 0.000
0.000 0.500 0.500
0.500 0.000 0.500
0.500 0.500 0.000
0.500 0.500 0.500
```

Summary:
As for the energy relative to the lowest polymorph listed for this composition: 0 meV per atom. The value obtained for the density is 8.5 g cm⁻³.

# 2
The following is a PBE-GGA calculation of Sc2Ag2Te after structural relaxation, from Alexandria via LeMat-Bulk.

```
Sc2Ag2Te
1.0
7.544 0.000 0.000
0.000 7.544 0.000
0.000 0.000 4.076
Sc Ag Te
4 4 2
Direct
0.161 0.339 0.000
0.339 0.839 0.000
0.661 0.161 0.000
0.839 0.661 0.000
0.132 0.632 0.500
0.368 0.132 0.500
0.632 0.868 0.500
0.868 0.368 0.500
0.000 0.000 0.000
0.500 0.500 0.000
```

Summary:
As for the energy relative to the lowest polymorph listed for this composition: 0 meV per atom. The formation energy (no corrections) comes out at -32 kJ/mol of atoms. The value obtained for the density is 6.2 g cm⁻³.

# 3
The following is a PBE-GGA calculation of Ce2GdHo after structural relaxation, from Alexandria via LeMat-Bulk.

```
Ce2GdHo
1.0
3.460 0.000 0.000
0.000 3.460 0.000
0.000 0.000 10.197
Ce Gd Ho
2 1 1
Direct
0.000 0.000 0.248
0.000 0.000 0.752
0.500 0.500 0.500
0.500 0.500 0.000
```

Summary:
As for the energy relative to the lowest polymorph listed for this composition: 2 meV per atom. The value obtained for the density is 8.2 g cm⁻³.

# 4
The following is a PBE-GGA calculation of LaTm8In6 after structural relaxation, from Alexandria via LeMat-Bulk.

```
LaTm8In6
1.0
4.517 2.608 6.411
-4.517 2.608 6.411
0.000 -5.216 6.411
La Tm In
1 8 6
Direct
0.000 0.000 0.000
0.115 0.782 0.442
0.218 0.558 0.885
0.332 0.332 0.332
0.442 0.115 0.782
0.558 0.885 0.218
0.668 0.668 0.668
0.782 0.442 0.115
0.885 0.218 0.558
0.061 0.405 0.717
0.283 0.939 0.595
0.405 0.717 0.061
0.595 0.283 0.939
0.717 0.061 0.405
0.939 0.595 0.283
```

Summary:
The value obtained for the density is 8.0 g cm⁻³. As for the final energy: -59.898 eV per formula unit.

# 5
The following is a PBE-GGA calculation of Dy6Hg2Au after structural relaxation, from Alexandria via LeMat-Bulk.

```
Dy6Hg2Au
1.0
6.273 0.000 0.000
0.000 8.131 0.000
-6.152 0.000 10.176
Dy Hg Au
12 4 2
Direct
0.075 0.209 0.439
0.075 0.291 0.939
0.297 0.656 0.445
0.297 0.844 0.945
0.373 0.048 0.233
0.373 0.452 0.733
0.627 0.548 0.267
0.627 0.952 0.767
0.703 0.156 0.055
0.703 0.344 0.555
0.925 0.709 0.061
0.925 0.791 0.561
0.152 0.112 0.729
0.152 0.388 0.229
0.848 0.612 0.771
0.848 0.888 0.271
0.500 0.000 0.500
0.500 0.500 0.000
```

Summary:
The value obtained for the density is 10.1 g cm⁻³. As for the final energy: -34.159 eV per formula unit.

# 6
The following is a PBE-GGA calculation of NbP2OsPt after structural relaxation, from Alexandria via LeMat-Bulk.

```
NbP2OsPt
1.0
4.396 0.000 0.000
0.000 4.396 0.000
0.000 0.000 5.203
Nb P Os Pt
1 2 1 1
Direct
0.000 0.000 0.000
0.000 0.500 0.500
0.500 0.000 0.500
0.000 0.000 0.500
0.500 0.500 0.000
```

Summary:
The value obtained for the density is 8.9 g cm⁻³. As for the final energy: -33.793 eV per formula unit.

Copy entry 6 word for word.
The following is a PBE-GGA calculation of NbP2OsPt after structural relaxation, from Alexandria via LeMat-Bulk.

```
NbP2OsPt
1.0
4.396 0.000 0.000
0.000 4.396 0.000
0.000 0.000 5.203
Nb P Os Pt
1 2 1 1
Direct
0.000 0.000 0.000
0.000 0.500 0.500
0.500 0.000 0.500
0.000 0.000 0.500
0.500 0.500 0.000
```

Summary:
The value obtained for the density is 8.9 g cm⁻³. As for the final energy: -33.793 eV per formula unit.